Record 1
The following is a PBE-GGA calculation of an optimized crystal structure of Dy3Y2Ho7, from the Alexandria database.

Formation energy ... 0.08 eV per atom
Offset from the most stable computed form ... 0.000 eV/f.u.

a b c (Å): 6.2967 3.4996 17.3444
angles (deg): 90.00 96.24 90.00
Space group P2/m (No. 10)
Symmetry-distinct sites (fractional):
Dy 0.0000 0.0000 0.0000 (multiplicity 1)
Dy 0.0504 0.5000 0.6576 (multiplicity 2)
Y 0.4406 0.0000 0.3267 (multiplicity 2)
Ho 0.2264 0.5000 0.1647 (multiplicity 2)
Ho 0.2447 0.0000 0.5012 (multiplicity 2)
Ho 0.2740 0.0000 0.8328 (multiplicity 2)
Ho 0.5000 0.5000 0.0000 (multiplicity 1)

***

Record 2
The following is a PBE-GGA calculation of an optimized crystal structure of PrAl2ZnAu5, from the Alexandria database.

Formation energy ... -0.31 eV per atom

a b c (Å): 4.9452 4.9452 7.6513
angles (deg): 90.00 90.00 90.00
Space group P4/mmm (No. 123)
Symmetry-distinct sites (fractional):
Pr 0.0000 0.0000 0.0000 (multiplicity 1)
Al 0.5000 0.5000 0.3360 (multiplicity 2)
Zn 0.0000 0.0000 0.5000 (multiplicity 1)
Au 0.0000 0.5000 0.2593 (multiplicity 4)
Au 0.5000 0.5000 0.0000 (multiplicity 1)

***

Record 3
The following is a PBE-GGA calculation of an optimized crystal structure of Fe3As4, from the Alexandria database.

Formation energy ... 0.36 eV per atom
Offset from the most stable computed form ... 1.750 eV/f.u.

a b c (Å): 4.9852 4.9852 5.1616
angles (deg): 90.00 90.00 120.00
Space group P6/mmm (No. 191)
Symmetry-distinct sites (fractional):
Fe 0.0000 0.5000 0.0000 (multiplicity 3)
As 0.0000 0.0000 0.2396 (multiplicity 2)
As 0.3333 0.6667 0.5000 (multiplicity 2)

***

Record 4
The following is a PBE-GGA calculation of an optimized crystal structure of Th3Ga4Cu2, from the Alexandria database.

Formation energy ... -0.49 eV per atom

a b c (Å): 10.9782 4.3519 8.4993
angles (deg): 90.00 105.53 90.00
Space group C2/m (No. 12)
Symmetry-distinct sites (fractional):
Th 0.0000 0.0000 0.0000 (multiplicity 2)
Th 0.1666 0.5000 0.6648 (multiplicity 4)
Ga 0.0581 0.0000 0.3878 (multiplicity 4)
Ga 0.2165 0.5000 0.0572 (multiplicity 4)
Cu 0.1086 0.5000 0.2788 (multiplicity 4)

***

Record 5
The following is a PBE-GGA calculation of an optimized crystal structure of Rb5SiSe4, from the Alexandria database.

a b c (Å): 9.8686 10.7667 8.0419
angles (deg): 90.00 90.00 90.00
Space group Pmmn (No. 59, origin choice 2)
Symmetry-distinct sites (fractional):
Rb 0.0054 0.0618 0.2312 (multiplicity 8)
Rb 0.2500 0.2500 0.6482 (multiplicity 2)
Si 0.2500 0.7500 0.3051 (multiplicity 2)
Se 0.0547 0.7500 0.1379 (multiplicity 4)
Se 0.2500 0.5723 0.4744 (multiplicity 4)

***

Record 6
The following is a PBE-GGA calculation of an optimized crystal structure of BaSr2GeN, from the Alexandria database.

a b c (Å): 5.2194 5.2194 5.4221
angles (deg): 90.00 90.00 90.00
Space group P4/mmm (No. 123)
Symmetry-distinct sites (fractional):
Ba 0.0000 0.0000 0.0000 (multiplicity 1)
Sr 0.0000 0.5000 0.5000 (multiplicity 2)
Ge 0.5000 0.5000 0.0000 (multiplicity 1)
N 0.0000 0.0000 0.5000 (multiplicity 1)

***

Record 7
The following is a PBE-GGA calculation of an optimized crystal structure of RbY3Pt, from the Alexandria database.

Formation energy ... -0.20 eV per atom
Offset from the most stable computed form ... 0.000 eV/f.u.

a b c (Å): 5.6374 5.6374 5.6374
angles (deg): 90.00 90.00 90.00
Space group Pm-3m (No. 221)
Symmetry-distinct sites (fractional):
Rb 0.0000 0.0000 0.0000 (multiplicity 1)
Y 0.0000 0.5000 0.5000 (multiplicity 3)
Pt 0.5000 0.5000 0.5000 (multiplicity 1)

***

Record 8
The following is a PBE-GGA calculation of an optimized crystal structure of BaNiPPd, from the Alexandria database.

Formation energy ... -0.60 eV per atom

a b c (Å): 3.9220 3.9220 11.1477
angles (deg): 90.00 90.00 90.00
Space group P4/nmm (No. 129, origin choice 2)
Symmetry-distinct sites (fractional):
Ba 0.2500 0.2500 0.2354 (multiplicity 2)
Ni 0.2500 0.7500 0.5000 (multiplicity 2)
P 0.2500 0.2500 0.6003 (multiplicity 2)
Pd 0.2500 0.7500 0.0000 (multiplicity 2)

***

| no. | calculated total energy (eV/atom) |
| --- | --- |
| 1 | -4.8173 |
| 2 | -3.6332 |
| 3 | -5.9241 |
| 4 | -5.2194 |
| 5 | -3.3055 |
| 6 | -4.1056 |
| 7 | -5.4825 |
| 8 | -5.1809 |